! PBE Bi2B2O7, relaxed; values from VASP
&SYSTEM
  ibrav = 0, nat = 22, ntyp = 3
/
ATOMIC_SPECIES
O 16.00 O.upf
Bi 208.98 Bi.upf
B 10.81 B.upf
CELL_PARAMETERS angstrom
-1.788 -4.870 2.045
0.508 -2.510 -7.832
7.684 0.439 3.904
ATOMIC_POSITIONS angstrom
O 5.142 -3.245 4.595
O 3.002 -3.916 -3.872
O 1.410 -2.064 -4.057
O 3.745 -1.888 -4.722
O 4.994 -4.877 2.173
O 2.659 -5.053 2.838
O 5.917 -3.481 -2.628
O 3.402 -3.026 1.988
O -0.049 -1.799 -0.899
O 6.453 -5.142 -0.985
O 3.644 -1.401 -1.760
O 2.759 -5.540 -0.124
O 1.262 -3.696 -6.479
O 0.487 -3.460 0.745
Bi 7.487 -1.811 -1.688
Bi -1.084 -5.131 -0.196
Bi 1.828 -5.684 -4.897
Bi 4.576 -1.258 3.013
B 3.730 -4.346 2.325
B 6.010 -4.809 -2.255
B 2.673 -2.596 -4.209
B 0.393 -2.132 0.371
! uncorrected energy = -147.41 eV for the cell shown
! formation energy without anion corrections = -1.63 eV per atom
! size of the total moment = 1.99 μB/cell
! relative energy among the computed polymorphs = 7 meV/atom